Computed, not measured: a relaxed structure of CdIn2SnAs4 at the PBE level of DFT.

```
data_CdIn2SnAs4
_cell_length_a 6.197
_cell_length_b 6.197
_cell_length_c 12.275
_cell_angle_alpha 90.00
_cell_angle_beta 90.00
_cell_angle_gamma 90.00
_space_group_name_H-M_alt 'I -4 2 m'
_space_group_IT_number 121
_space_group_name_Hall 'I -4 2'
loop_
_atom_site_label
_atom_site_type_symbol
_atom_site_fract_x
_atom_site_fract_y
_atom_site_fract_z
_atom_site_occupancy
Cd1 Cd 0.000 0.000 0.000 1
In1 In 0.000 0.500 0.250 1
Sn1 Sn 0.000 0.000 0.500 1
As1 As 0.248 0.248 0.376 1
```

The volume comes out at 29.457 Å³/atom. The value obtained for the uncorrected energy is -61.0 eV for the cell shown. The total moment comes out at 0.00 μB/f.u. The energy of formation comes out at -189.2 meV/atom.